DFT (PBE) results for Ce2ScGe after structural relaxation. Values from VASP.

Structure (Quantum ESPRESSO input):
```
&SYSTEM
  ibrav = 0, nat = 4, ntyp = 3
/
ATOMIC_SPECIES
Sc 44.96 Sc.upf
Ge 72.64 Ge.upf
Ce 140.12 Ce.upf
ATOMIC_POSITIONS angstrom
Sc -0.952 -3.712 0.716
Ge -1.021 -1.681 -1.506
Ce -1.337 -0.579 1.552
Ce 1.405 -1.453 0.669
CELL_PARAMETERS angstrom
-2.041 -3.361 -3.011
2.811 -2.905 1.338
-2.674 -1.157 3.105
```

Values from the calculation:
Offset from the most stable computed form, eV per atom: 0.000
Energy of formation, eV/atom: -0.425
SG: P4/mmm

DFT (PBE) results for Nd2Sm3TmTe6 after structural relaxation. Values from VASP.

Structure (Quantum ESPRESSO input):
```
&SYSTEM
  ibrav = 0, nat = 12, ntyp = 4
/
ATOMIC_SPECIES
Nd 144.24 Nd.upf
Sm 150.36 Sm.upf
Tm 168.93 Tm.upf
Te 127.60 Te.upf
ATOMIC_POSITIONS angstrom
Nd -3.833 -6.163 -3.376
Nd -1.961 -3.385 -0.621
Sm 1.749 -3.451 -3.133
Sm -5.652 -2.237 -2.395
Sm -0.142 -7.311 -1.602
Tm -0.136 0.473 -2.148
Te -2.933 -8.730 -1.738
Te -1.010 -4.823 -3.260
Te -2.860 -0.818 -2.260
Te -8.615 -3.572 -2.502
Te 2.821 -5.976 -1.496
Te -4.783 -4.725 -0.738
CELL_PARAMETERS angstrom
-0.273 0.947 -4.296
3.771 -7.849 -1.969
-9.292 -2.646 2.268
```

Values from the calculation:
Energy relative to the elements, uncorrected, eV per atom: -1.36
SG: C2/m

DFT (PBE) results for NdHoAlTl after structural relaxation. Values from VASP.

Structure (Quantum ESPRESSO input):
```
&SYSTEM
  ibrav = 0, nat = 4, ntyp = 4
/
ATOMIC_SPECIES
Tl 204.38 Tl.upf
Nd 144.24 Nd.upf
Ho 164.93 Ho.upf
Al 26.98 Al.upf
ATOMIC_POSITIONS angstrom
Tl 0.000 0.000 0.000
Nd 7.980 4.608 3.258
Ho 2.660 1.536 1.086
Al 5.320 3.072 2.172
CELL_PARAMETERS angstrom
5.320 0.000 0.000
2.660 4.608 0.000
2.660 1.536 4.344
```

Values from the calculation:
Offset from the most stable computed form, eV per atom: 0.028
Energy of formation, eV/atom: -0.334
SG: F-43m

DFT (PBE) results for Sm5Sc3 after structural relaxation. Values from VASP.

Structure (Quantum ESPRESSO input):
```
&SYSTEM
  ibrav = 0, nat = 8, ntyp = 2
/
ATOMIC_SPECIES
Sm 150.36 Sm.upf
Sc 44.96 Sc.upf
ATOMIC_POSITIONS angstrom
Sm 0.000 0.000 4.659
Sm 1.767 1.767 12.008
Sm 1.767 1.767 7.286
Sm 0.000 0.000 14.634
Sm 0.000 0.000 0.000
Sc 1.767 1.767 2.312
Sc 1.767 1.767 16.981
Sc 0.000 0.000 9.647
CELL_PARAMETERS angstrom
3.535 0.000 0.000
0.000 3.535 0.000
0.000 0.000 19.293
```

Values from the calculation:
Offset from the most stable computed form, eV per atom: 0.000
Energy of formation, eV/atom: 0.053
SG: P4/mmm

DFT (PBE) results for BeAlCd after structural relaxation. Values from VASP.

Structure (Quantum ESPRESSO input):
```
&SYSTEM
  ibrav = 0, nat = 3, ntyp = 3
/
ATOMIC_SPECIES
Be 9.01 Be.upf
Al 26.98 Al.upf
Cd 112.41 Cd.upf
ATOMIC_POSITIONS angstrom
Be 0.703 -1.977 -1.362
Al -0.017 -0.406 0.342
Cd 2.295 -2.073 1.051
CELL_PARAMETERS angstrom
-0.920 -2.618 -3.155
4.009 0.707 1.043
-0.108 -2.545 2.143
```

Values from the calculation:
Offset from the most stable computed form, eV per atom: 0.181
Energy of formation, eV/atom: 0.427
SG: P3m1

DFT (PBE) results for CrOsW after structural relaxation. Values from VASP.

Structure (Quantum ESPRESSO input):
```
&SYSTEM
  ibrav = 0, nat = 3, ntyp = 3
/
ATOMIC_SPECIES
Cr 52.00 Cr.upf
Os 190.23 Os.upf
W 183.84 W.upf
ATOMIC_POSITIONS angstrom
Cr 0.000 0.000 0.000
Os 1.008 -3.221 3.878
W 1.512 -4.831 5.817
CELL_PARAMETERS angstrom
-0.982 -1.020 3.952
0.021 -4.024 1.196
2.977 -1.398 2.609
```

Values from the calculation:
Offset from the most stable computed form, eV per atom: 0.583
Energy of formation, eV/atom: 0.741
SG: F-43m

DFT (PBE) results for Rb3ScI after structural relaxation. Values from VASP.

Structure (Quantum ESPRESSO input):
```
&SYSTEM
  ibrav = 0, nat = 5, ntyp = 3
/
ATOMIC_SPECIES
I 126.90 I.upf
Sc 44.96 Sc.upf
Rb 85.47 Rb.upf
ATOMIC_POSITIONS angstrom
I 0.000 0.000 0.000
Sc 3.509 3.509 3.509
Rb 0.000 3.509 0.000
Rb 0.000 0.000 3.509
Rb 3.509 0.000 0.000
CELL_PARAMETERS angstrom
7.018 0.000 0.000
0.000 7.018 0.000
0.000 0.000 7.018
```

Values from the calculation:
Offset from the most stable computed form, eV per atom: 0.000
Energy relative to the elements, uncorrected, eV per atom: 0.06
SG: Pm-3m

DFT (PBE) results for KBi7Pd5 after structural relaxation. Values from VASP.

Structure (Quantum ESPRESSO input):
```
&SYSTEM
  ibrav = 0, nat = 13, ntyp = 3
/
ATOMIC_SPECIES
K 39.10 K.upf
Bi 208.98 Bi.upf
Pd 106.42 Pd.upf
ATOMIC_POSITIONS angstrom
K 6.080 0.043 0.043
Bi 6.080 2.593 2.602
Bi 6.080 4.970 4.986
Bi 9.119 2.754 5.088
Bi 9.119 5.079 2.770
Bi 3.040 1.697 1.703
Bi 6.080 5.720 1.193
Bi 6.080 1.174 5.724
Pd 7.574 7.314 3.710
Pd 4.585 7.314 3.710
Pd 7.574 3.686 7.326
Pd 4.585 3.686 7.326
Pd 9.119 5.613 5.631
CELL_PARAMETERS angstrom
6.080 0.000 0.000
3.040 7.278 0.124
3.040 0.100 7.278
```

Values from the calculation:
Energy of formation, eV/atom: -0.195
SG: Imm2

Going through the records in order, we get total DFT energy (no corrections) values of -24.516; -63.369; -16.791; -42.166; -7.104; -31.583; -10.502; -56.760 eV for the cell shown.
Going through the records in order, we get calculated density values of 7356; 7479; 8429; 6108; 4841; 13527; 2058; 10492 kg/m³.